This record from Alexandria describes a relaxed structure of Ba2Sr5Ca3. The functional is PBE.

Cell: 7.339 13.065 13.065 Å, 103.82 73.69 73.69°
Fractional coordinates of all 20 atoms:
Ca (0.250, 0.000, 0.000)
Ca (0.258, 0.574, 0.911)
Ca (0.758, 0.911, 0.574)
Ca (0.242, 0.089, 0.426)
Ca (0.742, 0.426, 0.089)
Ca (0.750, 0.000, 0.000)
Ba (0.593, 0.234, 0.579)
Ba (0.407, 0.766, 0.421)
Ba (0.093, 0.579, 0.234)
Ba (0.907, 0.421, 0.766)
Sr (0.504, 0.246, 0.246)
Sr (0.250, 0.500, 0.500)
Sr (0.904, 0.933, 0.259)
Sr (0.004, 0.246, 0.246)
Sr (0.596, 0.741, 0.067)
Sr (0.404, 0.259, 0.933)
Sr (0.096, 0.067, 0.741)
Sr (0.750, 0.500, 0.500)
Sr (0.496, 0.754, 0.754)
Sr (0.996, 0.754, 0.754)

Results
As for the calculated formation energy: 0.1536 eV per atom. The calculation puts the total energy at -33.45 eV per cell. The space group is Ibam, No. 72. The calculation puts the density of states at the Fermi level at 21.966 states/eV/cell. For the total magnetic moment, the calculation gives 0.00 μB per formula unit.



This record from Alexandria describes a relaxed structure of Ba12SrCa6. The functional is PBE.

Cell: 10.516 11.366 11.366 Å, 69.06 72.04 107.96°
Fractional coordinates of all 19 atoms:
Ba (0.887, 0.625, 0.948)
Ba (0.113, 0.375, 0.052)
Ba (0.323, 0.114, 0.156)
Ba (0.166, 0.052, 0.572)
Ba (0.677, 0.886, 0.844)
Ba (0.834, 0.948, 0.428)
Ba (0.738, 0.572, 0.375)
Ba (0.262, 0.428, 0.625)
Ba (0.520, 0.844, 0.271)
Ba (0.209, 0.729, 0.114)
Ba (0.480, 0.156, 0.729)
Ba (0.791, 0.271, 0.886)
Ca (0.423, 0.468, 0.214)
Ca (0.637, 0.214, 0.319)
Ca (0.577, 0.532, 0.786)
Ca (0.363, 0.786, 0.681)
Ca (0.044, 0.681, 0.532)
Ca (0.956, 0.319, 0.468)
Sr (0.000, 0.000, 0.000)

Results
As for the calculated formation energy: 0.0373 eV per atom. The calculation puts the total energy at -36.06 eV per cell. The space group is R-3, No. 148. The calculation puts the density of states at the Fermi level at 26.402 states/eV/cell. For the total magnetic moment, the calculation gives 0.00 μB per formula unit.



Question: Number 1 is which compound?
Answer: Ba2Sr5Ca3